No. 1
## CaMgSb2 (PBE)

Data for an optimized crystal structure of CaMgSb2.

Structure (extended XYZ):
```
8
Lattice="4.433 0.000 0.000 0.000 4.433 0.000 0.000 0.000 11.408" Properties=species:S:1:pos:R:3 pbc="T T T"
Ca 1.108 1.108 2.489
Ca 3.325 3.325 8.918
Mg 1.108 3.325 5.704
Mg 3.325 1.108 5.704
Sb 1.108 1.108 7.583
Sb 1.108 3.325 0.000
Sb 3.325 1.108 0.000
Sb 3.325 3.325 3.824
```

- total energy (Ha/atom) = -0.1323
- formation energy from raw total energies (meV per atom) = -641.0
- space-group type = P4/nmm, No. 129



No. 2
## LaCr4Se (PBE)

Data for an optimized crystal structure of LaCr4Se.

Structure (extended XYZ):
```
6
Lattice="0.000 3.634 3.634 3.634 0.000 3.634 3.634 3.634 0.000" Properties=species:S:1:pos:R:3 pbc="T T T"
La 0.000 0.000 0.000
Cr 2.750 2.750 2.750
Cr 4.519 4.519 2.750
Cr 4.519 2.750 4.519
Cr 2.750 4.519 4.519
Se 5.451 5.451 5.451
```

- total energy (Ha/atom) = -0.2653
- formation energy from raw total energies (meV per atom) = 598.9
- space-group type = F-43m, No. 216



No. 3
## TePb2F8 (PBE)

Data for an optimized crystal structure of TePb2F8.

Structure (extended XYZ):
```
11
Lattice="5.419 -3.987 0.000 5.419 3.987 0.000 -1.530 0.000 4.624" Properties=species:S:1:pos:R:3 pbc="T T T"
Te 0.000 0.000 0.000
Pb 2.758 0.000 3.053
Pb 6.550 0.000 1.571
F 2.964 2.492 3.442
F 0.217 0.000 3.534
F 6.344 2.492 1.181
F 4.268 0.000 0.863
F 5.041 0.000 3.761
F 2.964 -2.492 3.442
F 9.091 0.000 1.090
F 6.344 -2.492 1.181
```

- total energy (Ha/atom) = -0.1684
- formation energy from raw total energies (meV per atom) = -2260.5
- space-group type = C2/m, No. 12



No. 4
## K4TmPu3O12 (PBE)

Data for an optimized crystal structure of K4TmPu3O12.

Structure (extended XYZ):
```
20
Lattice="-4.265 4.265 4.265 4.265 -4.265 4.265 4.265 4.265 -4.265" Properties=species:S:1:pos:R:3 pbc="T T T"
K 2.133 2.133 -2.133
K 2.133 -2.133 2.133
K -2.133 2.133 2.133
K 2.133 2.133 2.133
Tm 0.000 0.000 0.000
Pu 4.265 0.000 0.000
Pu 0.000 4.265 0.000
Pu 0.000 0.000 4.265
O 2.246 0.000 0.000
O 6.285 0.000 0.000
O 4.265 2.133 0.000
O 4.265 0.000 2.133
O 0.000 2.246 0.000
O 0.000 0.000 2.246
O 2.133 4.265 0.000
O 2.133 0.000 4.265
O 0.000 6.285 0.000
O 0.000 0.000 6.285
O 0.000 4.265 2.133
O 0.000 2.133 4.265
```

- total energy (Ha/atom) = -0.3000
- formation energy from raw total energies (meV per atom) = -2595.6
- space-group type = Im-3m, No. 229



No. 5
## PrSn5Se7 (PBE)

Data for an optimized crystal structure of PrSn5Se7.

Structure (extended XYZ):
```
26
Lattice="2.095 -7.047 0.000 2.095 7.047 0.000 0.000 0.000 24.776" Properties=species:S:1:pos:R:3 pbc="T T T"
Pr 2.095 4.073 12.388
Pr 2.095 -4.073 0.000
Sn 2.095 6.959 6.343
Sn 2.095 3.431 20.721
Sn 2.095 3.137 4.555
Sn 2.095 0.682 15.125
Sn 2.095 0.303 10.146
Sn 2.095 -0.303 22.535
Sn 2.095 -0.682 2.737
Sn 2.095 -3.137 16.943
Sn 2.095 -3.431 8.333
Sn 2.095 -6.959 18.731
Se 2.095 5.890 16.167
Se 2.095 5.371 9.447
Se 2.095 4.671 23.242
Se 2.095 4.268 1.932
Se 2.095 2.033 17.867
Se 2.095 1.761 7.338
Se 2.095 0.867 0.298
Se 2.095 -0.867 12.687
Se 2.095 -1.761 19.726
Se 2.095 -2.033 5.479
Se 2.095 -4.268 14.320
Se 2.095 -4.671 10.854
Se 2.095 -5.371 21.835
Se 2.095 -5.890 3.779
```

- total energy (Ha/atom) = -0.1644
- formation energy from raw total energies (meV per atom) = -689.5
- space-group type = Cmc2_1, No. 36



No. 6
## SrMgTc4 (PBE)

Data for an optimized crystal structure of SrMgTc4.

Structure (extended XYZ):
```
6
Lattice="0.000 3.807 3.807 3.807 0.000 3.807 3.807 3.807 0.000" Properties=species:S:1:pos:R:3 pbc="T T T"
Sr 0.000 0.000 0.000
Mg 1.903 1.903 1.903
Tc 4.754 2.859 2.859
Tc 2.859 4.754 2.859
Tc 2.859 2.859 4.754
Tc 4.754 4.754 4.754
```

- total energy (Ha/atom) = -0.2587
- ΔE_f (meV/atom) = 417.0
- space-group type = F-43m, No. 216



No. 7
## Pm2GeBr (PBE)

Data for an optimized crystal structure of Pm2GeBr.

Structure (extended XYZ):
```
4
Lattice="3.567 0.000 0.000 0.000 3.567 0.000 0.000 0.000 7.988" Properties=species:S:1:pos:R:3 pbc="T T T"
Pm 0.000 0.000 1.812
Pm 0.000 0.000 6.176
Ge 1.784 1.784 0.000
Br 1.784 1.784 3.994
```

- total energy (Ha/atom) = -0.1781
- energy above the most stable polymorph in this dataset (kJ per mole of atoms) = 24.3
- formation energy from raw total energies (meV per atom) = -897.3
- space-group type = P4/mmm, No. 123



No. 8
## Pr2Y8Tm3 (PBE)

Data for an optimized crystal structure of Pr2Y8Tm3.

Structure (extended XYZ):
```
13
Lattice="3.807 -10.415 0.000 3.807 10.415 0.000 0.000 0.000 5.573" Properties=species:S:1:pos:R:3 pbc="T T T"
Pr 3.807 5.407 0.000
Pr 3.807 -5.407 0.000
Y 3.807 7.739 2.787
Y 2.185 2.179 0.000
Y 3.807 3.379 2.787
Y 2.185 -2.179 0.000
Y 5.430 2.179 0.000
Y 3.807 -3.379 2.787
Y 5.430 -2.179 0.000
Y 3.807 -7.739 2.787
Tm 0.000 0.000 0.000
Tm 2.161 0.000 2.787
Tm 5.453 0.000 2.787
```

- total energy (Ha/atom) = -0.2023
- energy above the most stable polymorph in this dataset (kJ per mole of atoms) = 8.7
- ΔE_f (meV/atom) = 239.3
- space-group type = Cmmm, No. 65